*one*
20
Lattice="-3.604 -6.131 -2.078 4.963 -4.256 3.948 -4.850 0.575 6.717" Properties=species:S:1:pos:R:3 comment="ZrCd3Hg (PBE-GGA, optimized geometry)" dos_ef_per_ev_atom=0.52 total_magnetization_mub_per_fu=0.0 pbc="T T T"
Cd -1.718 -3.519 3.798
Cd -1.773 -6.293 4.789
Cd -3.824 -6.050 7.629
Cd -2.993 -1.265 5.649
Cd 0.332 -3.762 0.958
Cd -4.688 -5.584 1.830
Cd -0.854 -3.985 9.596
Cd -2.637 -5.827 -1.009
Cd 1.006 -5.226 3.741
Cd -4.497 -4.586 4.846
Cd 1.196 -4.228 6.757
Cd -0.499 -8.547 2.938
Zr -1.361 -1.448 1.708
Zr -2.130 -8.364 6.879
Zr -1.728 -5.744 1.811
Zr -1.763 -4.068 6.776
Hg -1.802 -3.065 -1.039
Hg 2.482 -2.128 1.974
Hg -4.227 -2.778 2.319
Hg 0.056 -1.840 5.333

***

*two*
5
Lattice="5.821 0.000 0.000 0.000 5.821 0.000 0.000 0.000 5.821" Properties=species:S:1:pos:R:3 comment="ZrCd3Hg (PBE-GGA, optimized geometry)" dos_ef_per_ev_atom=1.41 total_magnetization_mub_per_fu=3.3 pbc="T T T"
Cd 2.911 0.000 0.000
Cd 0.000 2.911 0.000
Cd 0.000 0.000 2.911
Zr 0.000 0.000 0.000
Hg 2.911 2.911 2.911

***

Least stable: *two*

***

*one*
7
Lattice="5.032 0.000 0.000 -2.516 5.440 -0.103 0.000 -1.316 5.687" Properties=species:S:1:pos:R:3 comment="Zr2Cd3Hg2 (PBE-GGA, optimized geometry)" dos_ef_per_ev_atom=0.67 total_magnetization_mub_per_fu=0.0 pbc="T T T"
Zr 2.516 0.449 1.670
Zr 0.000 3.675 3.914
Cd 0.000 0.000 0.000
Cd 0.000 2.948 0.768
Cd 2.516 1.175 4.816
Hg 2.516 3.386 2.304
Hg 0.000 0.738 3.280

***

*two*
7
Lattice="-4.370 1.604 -1.302 0.519 -4.444 1.828 1.668 3.188 7.402" Properties=species:S:1:pos:R:3 comment="Zr2Cd3Hg2 (PBE-GGA, optimized geometry)" dos_ef_per_ev_atom=0.70 total_magnetization_mub_per_fu=0.0 pbc="T T T"
Cd -1.727 -0.835 4.880
Cd 0.000 0.000 0.000
Cd -0.456 1.183 3.048
Hg 0.849 0.002 6.232
Hg -3.032 0.345 1.696
Zr -0.927 2.398 6.167
Zr -1.256 -2.050 1.761

***

Least stable: *two*

***

*one*
5
Lattice="4.140 0.000 0.000 0.000 4.140 0.000 2.070 2.070 7.201" Properties=species:S:1:pos:R:3 comment="Zr2CdHg2 (PBE-GGA, optimized geometry)" dos_ef_per_ev_atom=0.97 total_magnetization_mub_per_fu=1.9 pbc="T T T"
Zr 4.140 4.140 5.842
Zr 2.070 2.070 1.359
Hg 2.070 4.140 3.601
Hg 4.140 2.070 3.601
Cd 0.000 0.000 0.000

***

*two*
5
Lattice="-1.801 0.430 2.468 -3.707 -1.656 -2.415 3.403 -6.044 3.536" Properties=species:S:1:pos:R:3 comment="Zr2CdHg2 (PBE-GGA, optimized geometry)" dos_ef_per_ev_atom=0.68 total_magnetization_mub_per_fu=0.0 pbc="T T T"
Zr -2.420 -2.090 0.527
Zr 0.316 -5.180 3.062
Cd 0.000 0.000 0.000
Hg 0.607 -2.694 0.913
Hg -0.911 -5.007 0.208

***

Least stable: *one*

***

*one*
10
Lattice="-3.595 -6.785 3.642 7.455 -2.061 3.520 -0.744 1.809 2.635" Properties=species:S:1:pos:R:3 comment="Zr2CdHg2 (PBE-GGA, optimized geometry)" dos_ef_per_ev_atom=1.21 total_magnetization_mub_per_fu=0.0 pbc="T T T"
Hg 3.399 -5.355 6.679
Hg -0.282 -1.681 3.118
Hg 4.015 -1.637 4.301
Hg -0.899 -5.400 5.496
Zr 1.535 -7.216 5.386
Zr -1.308 -4.515 2.730
Zr 5.168 -4.331 4.432
Zr 2.326 -1.630 1.775
Cd 1.930 -4.423 3.581
Cd 0.000 0.000 0.000

***

*two*
5
Lattice="5.631 -1.276 0.608 1.595 6.012 0.495 0.728 0.453 3.194" Properties=species:S:1:pos:R:3 comment="Zr2CdHg2 (PBE-GGA, optimized geometry)" dos_ef_per_ev_atom=0.64 total_magnetization_mub_per_fu=0.0 pbc="T T T"
Zr 5.210 -0.101 3.106
Zr 2.744 5.291 1.191
Cd 0.798 3.006 0.248
Hg 2.979 1.509 1.674
Hg 4.976 3.681 2.623

***

Least stable: *one*